{
  "formula": "Rb2RuO4",
  "functional": "PBE",
  "state": "relaxed",
  "lattice_angstrom": [[-1.6337, 4.1914, 3.8008], [-4.5918, -3.8722, 2.2965], [5.6945, -4.4844, 3.8248]],
  "species": ["O", "O", "O", "O", "O", "O", "O", "O", "Rb", "Rb", "Rb", "Rb", "Ru", "Ru"],
  "frac_coords": [[0.7515, 0.0221, 0.3066], [0.2485, 0.5221, 0.6934], [0.7977, 0.7500, 0.6850], [0.2021, 0.7500, 0.9850], [0.7515, 0.4779, 0.3066], [0.7979, 0.2500, 0.0150], [0.2485, 0.9779, 0.6934], [0.2023, 0.2500, 0.3150], [0.6166, 0.2500, 0.6191], [0.3834, 0.7500, 0.3809], [0.2826, 0.2500, 0.9861], [0.7174, 0.7500, 0.0139], [0.1148, 0.7500, 0.7523], [0.8852, 0.2500, 0.2477]],
  "raw_formation_energy_ev_per_atom": -1.29,
  "spacegroup": "P2_1/m"
}

{
  "formula": "Ce3Y2TaN6",
  "functional": "PBE",
  "state": "relaxed",
  "lattice_angstrom": [[5.9357, 0.0002, 0.0011], [-2.9662, 5.1414, 0.0011], [-0.9895, -1.7134, 5.6748]],
  "species": ["N", "N", "N", "N", "N", "N", "Ce", "Ce", "Ce", "Y", "Y", "Ta"],
  "frac_coords": [[0.3821, 0.0754, 0.2261], [0.7698, 0.7698, 0.2317], [0.2302, 0.2302, 0.7683], [0.9246, 0.6179, 0.7739], [0.0754, 0.3821, 0.2261], [0.6179, 0.9246, 0.7739], [0.1680, 0.8320, 0.5000], [0.5000, 0.5000, 0.5000], [0.8320, 0.1680, 0.5000], [0.3336, 0.6664, 0.0000], [0.6664, 0.3336, 0.0000], [0.0000, 0.0000, 0.0000]],
  "raw_formation_energy_ev_per_atom": -1.51,
  "spacegroup": "C2/m"
}

{
  "formula": "Rb3PuSc2Te6",
  "functional": "PBE",
  "state": "relaxed",
  "lattice_angstrom": [[-6.4107, -4.2488, -0.2089], [5.2937, -0.7477, -5.5327], [4.2371, -4.3823, 6.4333]],
  "species": ["Te", "Te", "Te", "Te", "Te", "Te", "Pu", "Rb", "Rb", "Rb", "Sc", "Sc"],
  "frac_coords": [[0.5871, 0.9356, 0.8073], [0.4129, 0.0644, 0.1927], [0.2847, 0.2847, 0.8087], [0.9356, 0.5871, 0.8073], [0.7153, 0.7153, 0.1913], [0.0644, 0.4129, 0.1927], [0.0000, 0.0000, 0.0000], [0.1627, 0.8373, 0.5000], [0.5000, 0.5000, 0.5000], [0.8373, 0.1627, 0.5000], [0.3329, 0.6671, 0.0000], [0.6671, 0.3329, 0.0000]],
  "raw_formation_energy_ev_per_atom": -1.18,
  "spacegroup": "C2/m"
}

{
  "formula": "TmB2S6",
  "functional": "PBE",
  "state": "relaxed",
  "lattice_angstrom": [[-4.5799, 3.0525, 2.7673], [-5.9336, -2.4390, -5.0402], [-3.7981, -6.5530, 3.0320]],
  "species": ["S", "S", "S", "S", "S", "S", "S", "S", "S", "S", "S", "S", "B", "B", "B", "B", "Tm", "Tm"],
  "frac_coords": [[0.2107, 0.0730, 0.5489], [0.7107, 0.5489, 0.0730], [0.1415, 0.3605, 0.2256], [0.6415, 0.2256, 0.3605], [0.1499, 0.8004, 0.0006], [0.6499, 0.0006, 0.8004], [0.2893, 0.4511, 0.9270], [0.3501, 0.9994, 0.1996], [0.7893, 0.9270, 0.4511], [0.3585, 0.7744, 0.6395], [0.8501, 0.1996, 0.9994], [0.8585, 0.6395, 0.7744], [0.3454, 0.1601, 0.3163], [0.1546, 0.6837, 0.8399], [0.6546, 0.8399, 0.6837], [0.8454, 0.3163, 0.1601], [0.7500, 0.8652, 0.1348], [0.2500, 0.1348, 0.8652]],
  "raw_formation_energy_ev_per_atom": -0.56,
  "spacegroup": "C2/c"
}

{
  "formula": "Cs2PmAgBr6",
  "functional": "PBE",
  "state": "relaxed",
  "lattice_angstrom": [[-0.8008, 7.8076, -2.0932], [-7.0973, 0.3274, 3.9364], [5.5116, 3.1591, 9.6746]],
  "species": ["Br", "Br", "Br", "Br", "Br", "Br", "Br", "Br", "Br", "Br", "Br", "Br", "Pm", "Pm", "Cs", "Cs", "Cs", "Cs", "Ag", "Ag"],
  "frac_coords": [[0.5000, 0.2487, 0.2521], [0.2506, 0.9980, 0.5000], [0.2497, 0.4977, 0.5000], [0.0000, 0.7513, 0.2479], [0.7503, 0.4977, 0.5000], [0.7506, 0.0020, 0.0000], [0.7497, 0.5023, 0.0000], [0.5000, 0.2487, 0.7479], [0.0000, 0.7513, 0.7521], [0.7494, 0.9980, 0.5000], [0.2494, 0.0020, 0.0000], [0.2503, 0.5023, 0.0000], [0.0000, 0.7517, 0.0000], [0.5000, 0.2483, 0.5000], [0.5000, 0.7503, 0.2501], [0.0000, 0.2497, 0.7501], [0.0000, 0.2497, 0.2499], [0.5000, 0.7503, 0.7499], [0.5000, 0.2520, 0.0000], [0.0000, 0.7480, 0.5000]],
  "raw_formation_energy_ev_per_atom": -1.57,
  "spacegroup": "Pmmn"
}

{
  "formula": "TlSn3Pb4",
  "functional": "PBE",
  "state": "relaxed",
  "lattice_angstrom": [[3.5415, 0.0000, 0.0000], [0.0000, 3.5415, 0.0000], [0.0000, 0.0000, 19.2408]],
  "species": ["Sn", "Sn", "Sn", "Pb", "Pb", "Pb", "Pb", "Tl"],
  "frac_coords": [[0.5000, 0.5000, 0.2509], [0.5000, 0.5000, 0.5000], [0.5000, 0.5000, 0.7491], [0.0000, 0.0000, 0.6226], [0.0000, 0.0000, 0.3774], [0.0000, 0.0000, 0.8686], [0.0000, 0.0000, 0.1314], [0.5000, 0.5000, 0.0000]],
  "energy_ev_per_atom": -3.62,
  "spacegroup": "P4/mmm"
}

{
  "formula": "PaZnGaCu",
  "functional": "PBE",
  "state": "relaxed",
  "lattice_angstrom": [[-1.4301, -4.4662, 0.1181], [0.4300, -2.4969, 3.9480], [-3.8179, -1.1761, 2.4590]],
  "species": ["Pa", "Cu", "Zn", "Ga"],
  "frac_coords": [[0.0000, 0.0000, 0.0000], [0.2500, 0.2500, 0.2500], [0.5000, 0.5000, 0.5000], [0.7500, 0.7500, 0.7500]],
  "energy_ev_per_atom": -4.54,
  "spacegroup": "F-43m"
}

{
  "formula": "MoAuBr6",
  "functional": "PBE",
  "state": "relaxed",
  "lattice_angstrom": [[6.5906, 0.0000, 3.0613], [3.2953, 5.8512, 1.5306], [0.3943, 0.0000, 7.2340]],
  "species": ["Br", "Br", "Br", "Br", "Br", "Br", "Mo", "Au"],
  "frac_coords": [[0.0982, 0.3114, 0.7483], [0.7004, 0.0000, 0.6974], [0.5904, 0.3114, 0.2517], [0.2996, 0.0000, 0.3026], [0.9018, 0.6886, 0.2517], [0.4096, 0.6886, 0.7483], [0.5000, 0.0000, 0.5000], [0.0000, 0.0000, 0.0000]],
  "raw_formation_energy_ev_per_atom": -0.31,
  "spacegroup": "C2/m"
}

Asked for total magnetic moment across the records above, the calculation gives 4.00, 0.00, 5.00, 0.00, 0.00, 0.00, 0.00, 1.94 μB/cell in order.